1.
GaPPt6Pb2: relaxed, PBE.

Summary:
For the formation energy from the elements, the calculation gives -300 meV per atom. The value obtained for the electronic total energy is -5.510 eV/atom.

abc: 5.572 8.758 8.111
angles: 90.00 90.00 90.00
Sites, in units of the cell vectors:
1 Ga 0.250 0.250 0.220
2 Ga 0.750 0.750 0.780
3 P 0.250 0.750 0.269
4 P 0.750 0.250 0.731
5 Pt 0.005 0.250 0.957
6 Pt 0.006 0.250 0.493
7 Pt 0.250 0.502 0.387
8 Pt 0.250 0.998 0.387
9 Pt 0.494 0.250 0.493
10 Pt 0.495 0.250 0.957
11 Pt 0.505 0.750 0.043
12 Pt 0.506 0.750 0.507
13 Pt 0.750 0.002 0.613
14 Pt 0.750 0.498 0.613
15 Pt 0.994 0.750 0.507
16 Pt 0.995 0.750 0.043
17 Pb 0.250 0.522 0.794
18 Pb 0.250 0.978 0.794
19 Pb 0.750 0.022 0.206
20 Pb 0.750 0.478 0.206


2.
BeTlIr: relaxed, PBE.

Summary:
The calculation puts the energy above the most stable polymorph in this dataset at 0 meV per atom. For the formation energy from the elements, the calculation gives 84 meV per atom. The value obtained for the electronic total energy is -4.900 eV/atom.

abc: 5.495 5.495 5.495
angles: 147.02 147.02 47.33
Sites, in units of the cell vectors:
1 Be 0.000 0.000 0.000
2 Tl 0.279 0.279 0.000
3 Ir 0.565 0.565 0.000